Record 1
VASP calculation (PBE-GGA) on a relaxed structure of CaZr2FeN4.

```
data_CaZr2FeN4
_space_group_name_H-M_alt 'P 1'
_space_group_IT_number 1
_cell_length_a 3.2382
_cell_length_b 5.7742
_cell_length_c 11.1682
_cell_angle_alpha 90.00
_cell_angle_beta 90.00
_cell_angle_gamma 106.28
loop_
_space_group_symop_operation_xyz
'x,y,z'
loop_
_atom_site_label
_atom_site_type_symbol
_atom_site_fract_x
_atom_site_fract_y
_atom_site_fract_z
Fe1 Fe 0.8414 0.6829 0.7500
N1 N 0.2642 0.5284 0.3830
Zr1 Zr 0.3671 0.7341 0.5460
Zr2 Zr 0.6329 0.2659 0.0460
N2 N 0.0000 0.0000 0.5000
N3 N 0.5761 0.1522 0.2500
Ca1 Ca 0.8919 0.7837 0.2500
N4 N 0.7358 0.4716 0.6170
Fe2 Fe 0.1586 0.3171 0.2500
Zr3 Zr 0.3671 0.7341 0.9540
N5 N 0.2642 0.5284 0.1170
N6 N 0.4239 0.8478 0.7500
Ca2 Ca 0.1081 0.2163 0.7500
N7 N 0.7358 0.4716 0.8830
N8 N 0.0000 0.0000 0.0000
Zr4 Zr 0.6329 0.2659 0.4540
```

Calculated values
VASP energy: -8.75 eV/atom
theoretical density: 5.54 Mg/m³

Record 2
VASP calculation (PBE-GGA) on a relaxed structure of NaCa2Fe.

```
data_NaCa2Fe
_space_group_name_H-M_alt 'P 1'
_space_group_IT_number 1
_cell_length_a 5.2642
_cell_length_b 5.2642
_cell_length_c 5.2642
_cell_angle_alpha 60.00
_cell_angle_beta 60.00
_cell_angle_gamma 60.00
loop_
_space_group_symop_operation_xyz
'x,y,z'
loop_
_atom_site_label
_atom_site_type_symbol
_atom_site_fract_x
_atom_site_fract_y
_atom_site_fract_z
Fe1 Fe 0.5000 0.5000 0.5000
Na1 Na 0.0000 0.0000 0.0000
Ca1 Ca 0.7500 0.7500 0.7500
Ca2 Ca 0.2500 0.2500 0.2500
```

Calculated values
ΔH_f (0 K): 648 meV per atom
theoretical density: 2.56 Mg/m³
energy above the most stable polymorph in this dataset: 0.0 kJ per mole of atoms

Record 3
VASP calculation (PBE-GGA) on a relaxed structure of NaCa2Fe.

```
data_NaCa2Fe
_space_group_name_H-M_alt 'P 1'
_space_group_IT_number 1
_cell_length_a 7.6794
_cell_length_b 7.6794
_cell_length_c 7.6811
_cell_angle_alpha 60.01
_cell_angle_beta 60.01
_cell_angle_gamma 90.00
loop_
_space_group_symop_operation_xyz
'x,y,z'
loop_
_atom_site_label
_atom_site_type_symbol
_atom_site_fract_x
_atom_site_fract_y
_atom_site_fract_z
Ca1 Ca 0.8747 0.1250 0.2500
Na1 Na 0.5000 0.5000 0.0000
Fe1 Fe 0.0000 0.0000 0.0000
Na2 Na 0.2500 0.7500 0.5000
Ca2 Ca 0.3750 0.1253 0.7500
Ca3 Ca 0.8753 0.6250 0.2500
Fe2 Fe 0.7500 0.2500 0.5000
Ca4 Ca 0.8750 0.1247 0.7500
```

Calculated values
ΔH_f (0 K): 987 meV per atom
theoretical density: 1.65 Mg/m³
energy above the most stable polymorph in this dataset: 32.7 kJ per mole of atoms

Record 4
VASP calculation (PBE-GGA) on a relaxed structure of Na2CaFe.

```
data_Na2CaFe
_space_group_name_H-M_alt 'P 1'
_space_group_IT_number 1
_cell_length_a 5.3300
_cell_length_b 5.3300
_cell_length_c 5.3300
_cell_angle_alpha 60.00
_cell_angle_beta 60.00
_cell_angle_gamma 60.00
loop_
_space_group_symop_operation_xyz
'x,y,z'
loop_
_atom_site_label
_atom_site_type_symbol
_atom_site_fract_x
_atom_site_fract_y
_atom_site_fract_z
Ca1 Ca 0.0000 0.0000 0.0000
Na1 Na 0.7500 0.7500 0.7500
Na2 Na 0.2500 0.2500 0.2500
Fe1 Fe 0.5000 0.5000 0.5000
```

Calculated values
ΔH_f (0 K): 659 meV per atom
theoretical density: 2.20 Mg/m³

Which value of theoretical density does entry 2 give? 2.56 Mg/m³

Among the records above, which one has the highest theoretical density? CaZr2FeN4